[1]
V3H4Ru2: optimized geometry, PBE.

Summary:
As for the energy: -6.652 eV/atom. As for the magnetization: 0.00 μB/atom.

Cell: 9.3983 2.8112 6.1206 Å, 90.00 103.79 90.00°
Last column: nearest neighbours and their distance in Å.
Space group C2/m (No. 12)
Symmetry-distinct sites (fractional):
V  0.0000  0.0000  0.0000 (multiplicity 2)  6 H 1.87-1.92
V  0.1189  0.5000  0.3892 (multiplicity 4)  3 H 1.93-1.94
H  0.0234  0.0000  0.7053 (multiplicity 4)  3 V 1.87-1.93, 2 Ru 2.06
H  0.1413  0.5000  0.0823 (multiplicity 4)  3 V 1.92-1.94, 1 Ru 1.98
Ru  0.1872  0.5000  0.7830 (multiplicity 4)  5 H 1.98-2.15

[2]
V2H2Ru: optimized geometry, PBE.

Summary:
The value obtained for the energy above the most stable polymorph in this dataset is 322 meV per atom. As for the magnetization: 0.00 μB/atom.

Cell: 5.7289 5.7289 2.8129 Å, 90.00 90.00 90.00°
Last column: nearest neighbours and their distance in Å.
Space group P4/mbm (No. 127)
Symmetry-distinct sites (fractional):
V  0.1514  0.3486  0.0000 (multiplicity 4)  6 H 2.19
H  0.1412  0.6412  0.5000 (multiplicity 4)  6 V 2.19, 2 Ru 2.21, 1 H 2.29
Ru  0.0000  0.0000  0.5000 (multiplicity 2)  4 H 2.21

[3]
VH2Ru: optimized geometry, PBE.

Summary:
The value obtained for the energy above the most stable polymorph in this dataset is 239 meV per atom. As for the magnetization: 0.00 μB/atom.

Cell: 2.7951 2.7951 15.0573 Å, 90.00 90.00 120.00°
Last column: nearest neighbours and their distance in Å.
Space group R3m (No. 160, hexagonal axes)
Symmetry-distinct sites (fractional):
V  0.0000  0.0000  0.0000 (multiplicity 3)  6 H 1.87-2.01
H  0.0000  0.0000  0.5874 (multiplicity 3)  3 Ru 1.85, 3 V 2.01
H  0.0000  0.0000  0.7298 (multiplicity 3)  3 V 1.87
Ru  0.0000  0.0000  0.1942 (multiplicity 3)  3 H 1.85

[4]
V2HRu: optimized geometry, PBE.

Summary:
The value obtained for the energy above the most stable polymorph in this dataset is 52 meV per atom. As for the magnetization: 0.16 μB/atom.

Cell: 2.7725 2.7725 5.7823 Å, 90.00 90.00 90.00°
Last column: nearest neighbours and their distance in Å.
Space group P4/mmm (No. 123)
Symmetry-distinct sites (fractional):
V  0.0000  0.0000  0.2031 (multiplicity 2)  4 H 2.29, 1 V 2.35
H  0.5000  0.5000  0.0000 (multiplicity 1)  8 V 2.29
Ru  0.5000  0.5000  0.5000 (multiplicity 1)  8 V 2.61, 4 Ru 2.77, 2 H 2.89

[5]
VH4Ru: optimized geometry, PBE.

Summary:
As for the energy: -5.319 eV/atom. As for the magnetization: 0.21 μB/atom.

Cell: 3.0423 3.0423 4.2514 Å, 90.00 90.00 90.00°
Last column: nearest neighbours and their distance in Å.
Space group P4/mmm (No. 123)
Symmetry-distinct sites (fractional):
V  0.0000  0.0000  0.0000 (multiplicity 1)  8 H 1.86
H  0.0000  0.5000  0.2528 (multiplicity 4)  2 Ru 1.85, 2 V 1.86
Ru  0.5000  0.5000  0.5000 (multiplicity 1)  8 H 1.85

[6]
V2HRu4: optimized geometry, PBE.

Summary:
As for the energy: -8.292 eV/atom. As for the magnetization: 0.00 μB/atom.

Cell: 3.8430 3.8430 12.1529 Å, 90.00 90.00 90.00°
Last column: nearest neighbours and their distance in Å.
Space group I4/mmm (No. 139)
Symmetry-distinct sites (fractional):
V  0.0000  0.0000  0.1441 (multiplicity 4)  5 Ru 2.32-2.60
H  0.0000  0.0000  0.5000 (multiplicity 2)  6 Ru 1.92-2.00
Ru  0.0000  0.0000  0.3352 (multiplicity 4)  1 H 2.00
Ru  0.0000  0.5000  0.0000 (multiplicity 4)  2 H 1.92

Please write out number 4 again, unchanged.
V2HRu: optimized geometry, PBE.

Summary:
The value obtained for the energy above the most stable polymorph in this dataset is 52 meV per atom. As for the magnetization: 0.16 μB/atom.

Cell: 2.7725 2.7725 5.7823 Å, 90.00 90.00 90.00°
Last column: nearest neighbours and their distance in Å.
Space group P4/mmm (No. 123)
Symmetry-distinct sites (fractional):
V  0.0000  0.0000  0.2031 (multiplicity 2)  4 H 2.29, 1 V 2.35
H  0.5000  0.5000  0.0000 (multiplicity 1)  8 V 2.29
Ru  0.5000  0.5000  0.5000 (multiplicity 1)  8 V 2.61, 4 Ru 2.77, 2 H 2.89